(1)
Entry from the Open Quantum Materials Database: an optimized crystal structure of Y3IrOs (PBE-GGA).

Lattice parameters (Å, degrees): 7.3178 7.3178 6.5256 90.00 90.00 137.80
With the nearest neighbours (Å) after each atom.
Fractional positions:
Ir (0.9965, 0.0035, 0.2500)  6 Y 2.72-2.87
Ir (0.0035, 0.9965, 0.7500)  6 Y 2.72-2.87
Os (0.6568, 0.3432, 0.2500)  7 Y 2.86-3.08
Os (0.3432, 0.6568, 0.7500)  7 Y 2.86-3.08
Y (0.1721, 0.8279, 0.0069)  2 Ir 2.85-2.87, 3 Os 2.88-3.08, 1 Y 3.17
Y (0.4473, 0.5527, 0.2500)  2 Ir 2.72, 1 Os 2.86
Y (0.1721, 0.8279, 0.4931)  2 Ir 2.85-2.87, 3 Os 2.88-3.08, 1 Y 3.17
Y (0.8279, 0.1721, 0.5069)  2 Ir 2.85-2.87, 3 Os 2.88-3.08, 1 Y 3.17
Y (0.5527, 0.4473, 0.7500)  2 Ir 2.72, 1 Os 2.86
Y (0.8279, 0.1721, 0.9931)  2 Ir 2.85-2.87, 3 Os 2.88-3.08, 1 Y 3.17

Values from the calculation:
The symmetry is Cmcm (63). The formation energy comes out at -5.93 kcal/mol of atoms.



(2)
Entry from the Open Quantum Materials Database: an optimized crystal structure of ZrIrOs2 (PBE-GGA).

Lattice parameters (Å, degrees): 4.5118 4.5118 4.5118 60.00 60.00 60.00
With the nearest neighbours (Å) after each atom.
Fractional positions:
Ir (0.2500, 0.2500, 0.2500)  4 Zr 2.76, 4 Os 2.76
Os (0.0000, 0.0000, 0.0000)  4 Os 2.76, 4 Ir 2.76
Os (0.7500, 0.7500, 0.7500)  4 Zr 2.76, 4 Os 2.76
Zr (0.5000, 0.5000, 0.5000)  4 Os 2.76, 4 Ir 2.76

Values from the calculation:
The symmetry is F-43m (216). The formation energy comes out at 5.15 kcal/mol of atoms.



(3)
Entry from the Open Quantum Materials Database: an optimized crystal structure of Zr2IrOs (PBE-GGA).

Lattice parameters (Å, degrees): 4.6154 4.6154 4.6154 60.00 60.00 60.00
With the nearest neighbours (Å) after each atom.
Fractional positions:
Ir (0.5000, 0.5000, 0.5000)  4 Zr 2.83, 4 Os 2.83
Os (0.7500, 0.7500, 0.7500)  4 Ir 2.83, 4 Zr 2.83
Zr (0.0000, 0.0000, 0.0000)  4 Os 2.83, 4 Zr 2.83
Zr (0.2500, 0.2500, 0.2500)  4 Ir 2.83, 4 Zr 2.83

Values from the calculation:
The symmetry is F-43m (216). The formation energy comes out at -4.70 kcal/mol of atoms.



(4)
Entry from the Open Quantum Materials Database: an optimized crystal structure of P2Ir (PBE-GGA).

Lattice parameters (Å, degrees): 4.9712 4.9712 4.9712 123.05 123.05 84.79
With the nearest neighbours (Å) after each atom.
Fractional positions:
Ir (0.0000, 0.0000, 0.0000)  6 P 2.45-2.47
Ir (0.7500, 0.2500, 0.5000)  6 P 2.45-2.47
P (0.3360, 0.3360, 0.0000)  3 P 2.41-2.44, 3 Ir 2.45-2.47
P (0.6640, 0.6640, 0.0000)  3 P 2.41-2.44, 3 Ir 2.45-2.47
P (0.0860, 0.5860, 0.5000)  3 P 2.41-2.44, 3 Ir 2.45-2.47
P (0.4140, 0.9140, 0.5000)  3 P 2.41-2.44, 3 Ir 2.45-2.47

Values from the calculation:
The symmetry is I4_1/amd (141).



(5)
Entry from the Open Quantum Materials Database: an optimized crystal structure of P2Ir (PBE-GGA).

Lattice parameters (Å, degrees): 7.1570 7.1570 7.1570 60.00 60.00 60.00
With the nearest neighbours (Å) after each atom.
Fractional positions:
Ir (0.2500, 0.2500, 0.2500)  4 P 2.19
Ir (0.5000, 0.5000, 0.5000)  4 P 2.19
P (0.3750, 0.3750, 0.3750)  2 Ir 2.19
P (0.8750, 0.3750, 0.3750)  2 Ir 2.19
P (0.3750, 0.8750, 0.3750)  2 Ir 2.19
P (0.3750, 0.3750, 0.8750)  2 Ir 2.19

Values from the calculation:
The symmetry is Fd-3m (227).



(6)
Entry from the Open Quantum Materials Database: an optimized crystal structure of PIr (PBE-GGA).

Lattice parameters (Å, degrees): 3.7158 3.7158 3.7158 60.00 60.00 60.00
With the nearest neighbours (Å) after each atom.
Fractional positions:
Ir (0.0000, 0.0000, 0.0000)  4 P 2.28
P (0.2500, 0.2500, 0.2500)  4 Ir 2.28

Values from the calculation:
The symmetry is F-43m (216).



(7)
Entry from the Open Quantum Materials Database: an optimized crystal structure of PIr (PBE-GGA).

Lattice parameters (Å, degrees): 3.4856 3.4856 3.4856 60.00 60.00 60.00
With the nearest neighbours (Å) after each atom.
Fractional positions:
Ir (0.0000, 0.0000, 0.0000)  6 P 2.46
P (0.5000, 0.5000, 0.5000)  6 Ir 2.46

Values from the calculation:
The symmetry is Fm-3m (225).



(8)
Entry from the Open Quantum Materials Database: an optimized crystal structure of PIr (PBE-GGA).

Lattice parameters (Å, degrees): 4.7721 4.7721 4.9125 90.00 90.00 90.00
With the nearest neighbours (Å) after each atom.
Fractional positions:
Ir (0.0000, 0.5000, 0.1453)  6 P 2.41-2.51
Ir (0.0000, 0.0000, 0.5000)  6 P 2.46-2.48
Ir (0.5000, 0.5000, 0.5000)  6 P 2.46-2.48
Ir (0.5000, 0.0000, 0.8547)  6 P 2.41-2.51
P (0.0000, 0.0000, 0.0000)  6 Ir 2.46-2.49
P (0.5000, 0.5000, 0.0000)  6 Ir 2.46-2.49
P (0.5000, 0.0000, 0.3648)  6 Ir 2.41-2.51
P (0.0000, 0.5000, 0.6352)  6 Ir 2.41-2.51

Values from the calculation:
The symmetry is P4/nmm (129).



(9)
Entry from the Open Quantum Materials Database: an optimized crystal structure of PIr (PBE-GGA).

Lattice parameters (Å, degrees): 4.9082 3.5629 7.5621 90.00 90.00 90.00
With the nearest neighbours (Å) after each atom.
Fractional positions:
Ir (0.7500, 0.0000, 0.2598)  4 P 2.31-2.52
Ir (0.0000, 0.5000, 0.5000)  2 Ir 2.45, 4 P 2.50
Ir (0.5000, 0.5000, 0.5000)  2 Ir 2.45, 4 P 2.50
Ir (0.2500, 0.0000, 0.7402)  4 P 2.31-2.52
P (0.7500, 0.5000, 0.0662)  2 Ir 2.31
P (0.2500, 0.0000, 0.3342)  6 Ir 2.50-2.52
P (0.7500, 0.0000, 0.6658)  6 Ir 2.50-2.52
P (0.2500, 0.5000, 0.9338)  2 Ir 2.31

Values from the calculation:
The symmetry is Pmma (51).



(10)
Entry from the Open Quantum Materials Database: an optimized crystal structure of PIr (PBE-GGA).

Lattice parameters (Å, degrees): 3.5249 3.5250 2.8007 90.00 90.00 120.00
With the nearest neighbours (Å) after each atom.
Fractional positions:
Ir (0.6667, 0.3333, 0.7500)  6 P 2.47
P (0.3333, 0.6667, 0.2500)  6 Ir 2.47

Values from the calculation:
The symmetry is P-6m2 (187).



(11)
Entry from the Open Quantum Materials Database: an optimized crystal structure of P2Ir (PBE-GGA).

Lattice parameters (Å, degrees): 6.6880 3.6858 7.4536 90.00 90.00 90.00
With the nearest neighbours (Å) after each atom.
Fractional positions:
Ir (0.7417, 0.2500, 0.0541)  7 P 2.36-2.57
Ir (0.2417, 0.2500, 0.4459)  7 P 2.36-2.57
Ir (0.7583, 0.7500, 0.5541)  7 P 2.36-2.57
Ir (0.2583, 0.7500, 0.9459)  7 P 2.36-2.57
P (0.0966, 0.2500, 0.1367)  4 Ir 2.45-2.57, 2 P 2.52
P (0.5367, 0.7500, 0.1399)  3 Ir 2.36-2.38, 2 P 2.52
P (0.0367, 0.7500, 0.3601)  3 Ir 2.36-2.38, 2 P 2.52
P (0.5966, 0.2500, 0.3633)  4 Ir 2.45-2.57, 2 P 2.52
P (0.4034, 0.7500, 0.6367)  4 Ir 2.45-2.57, 2 P 2.52
P (0.9633, 0.2500, 0.6399)  3 Ir 2.36-2.38, 2 P 2.52
P (0.4633, 0.2500, 0.8601)  3 Ir 2.36-2.38, 2 P 2.52
P (0.9034, 0.7500, 0.8633)  4 Ir 2.45-2.57, 2 P 2.52

Values from the calculation:
The symmetry is Pnma (62).



(12)
Entry from the Open Quantum Materials Database: an optimized crystal structure of P2Ir (PBE-GGA).

Lattice parameters (Å, degrees): 4.9172 4.9172 4.9172 60.00 60.00 60.00
With the nearest neighbours (Å) after each atom.
Fractional positions:
Ir (0.0000, 0.0000, 0.0000)  12 P 2.88, 4 Ir 3.01
Ir (0.2500, 0.2500, 0.2500)  12 P 2.88, 4 Ir 3.01
P (0.6250, 0.6250, 0.1250)  6 P 2.46
P (0.6250, 0.1250, 0.6250)  6 P 2.46
P (0.1250, 0.6250, 0.6250)  6 P 2.46
P (0.6250, 0.6250, 0.6250)  6 P 2.46

Values from the calculation:
The symmetry is Fd-3m (227).



(13)
Entry from the Open Quantum Materials Database: an optimized crystal structure of PaP2Ir2 (PBE-GGA).

Lattice parameters (Å, degrees): 4.1664 4.1664 9.4885 90.00 90.00 90.00
With the nearest neighbours (Å) after each atom.
Fractional positions:
Ir (0.0000, 0.0000, 0.0000)  4 P 2.46
Ir (0.5000, 0.5000, 0.0000)  4 P 2.46
Ir (0.5000, 0.0000, 0.3848)  5 P 2.34-2.35
Ir (0.0000, 0.5000, 0.6152)  5 P 2.34-2.35
P (0.5000, 0.0000, 0.1377)  5 Ir 2.34-2.46
P (0.0000, 0.0000, 0.5000)  4 Ir 2.35
P (0.5000, 0.5000, 0.5000)  4 Ir 2.35
P (0.0000, 0.5000, 0.8623)  5 Ir 2.34-2.46
Pa (0.0000, 0.5000, 0.2574)  8 P 3.10-3.16, 9 Ir 3.18-3.40
Pa (0.5000, 0.0000, 0.7426)  8 P 3.10-3.16, 9 Ir 3.18-3.40

Values from the calculation:
The symmetry is P4/nmm (129).



(14)
Entry from the Open Quantum Materials Database: an optimized crystal structure of PmPIr (PBE-GGA).

Lattice parameters (Å, degrees): 4.0826 4.0826 4.1507 90.00 90.00 120.00
With the nearest neighbours (Å) after each atom.
Fractional positions:
Ir (0.0000, 0.0000, 0.8335)  3 P 2.36
P (0.6667, 0.3333, 0.8332)  3 Ir 2.36
Pm (0.3333, 0.6667, 0.3333)  6 Ir 3.14, 6 P 3.14

Values from the calculation:
The symmetry is P-6m2 (187).



(15)
Entry from the Open Quantum Materials Database: an optimized crystal structure of PmP2Ir5 (PBE-GGA).

Lattice parameters (Å, degrees): 6.1384 6.1384 6.1384 142.29 111.92 80.54
With the nearest neighbours (Å) after each atom.
Fractional positions:
Ir (0.5560, 0.3523, 0.2037)  1 P 2.26
Ir (0.8515, 0.6477, 0.2037)  1 P 2.26
Ir (0.5000, 0.0000, 0.5000)  2 P 2.32
Ir (0.1485, 0.3523, 0.7963)  1 P 2.26
Ir (0.4440, 0.6477, 0.7963)  1 P 2.26
P (0.7472, 0.2472, 0.5000)  3 Ir 2.26-2.32
P (0.2528, 0.7528, 0.5000)  3 Ir 2.26-2.32
Pm (0.0000, 0.0000, 0.0000)  4 P 3.09, 10 Ir 3.16-3.44

Values from the calculation:
The symmetry is Immm (71).



(16)
Entry from the Open Quantum Materials Database: an optimized crystal structure of PmPIr4 (PBE-GGA).

Lattice parameters (Å, degrees): 3.8354 3.8354 7.5976 90.00 90.00 90.00
With the nearest neighbours (Å) after each atom.
Fractional positions:
Ir (0.5000, 0.0000, 0.3097)  2 P 2.40
Ir (0.0000, 0.5000, 0.3097)  2 P 2.40
Ir (0.5000, 0.0000, 0.6903)  2 P 2.40
Ir (0.0000, 0.5000, 0.6903)  2 P 2.40
P (0.0000, 0.0000, 0.5000)  8 Ir 2.40
Pm (0.5000, 0.5000, 0.0000)  8 Ir 3.04

Values from the calculation:
The symmetry is P4/mmm (123).



(17)
Entry from the Open Quantum Materials Database: an optimized crystal structure of Sr2P2IrPt (PBE-GGA).

Lattice parameters (Å, degrees): 4.3446 4.3838 8.5283 90.00 90.00 90.00
With the nearest neighbours (Å) after each atom.
Fractional positions:
Ir (0.0000, 0.0000, 0.0000)  2 P 2.17
P (0.5000, 0.0000, 0.0000)  2 Ir 2.17
P (0.0000, 0.5000, 0.5000)  2 Pt 2.19
Pt (0.0000, 0.0000, 0.5000)  2 P 2.19
Sr (0.5000, 0.5000, 0.2457)  4 P 3.03-3.07
Sr (0.5000, 0.5000, 0.7543)  4 P 3.03-3.07

Values from the calculation:
The symmetry is Pmmm (47).



(18)
Entry from the Open Quantum Materials Database: an optimized crystal structure of PuP2Ir2 (PBE-GGA).

Lattice parameters (Å, degrees): 4.1342 4.1342 9.6190 90.00 90.00 90.00
With the nearest neighbours (Å) after each atom.
Fractional positions:
Ir (0.0000, 0.0000, 0.0000)  4 P 2.47
Ir (0.5000, 0.5000, 0.0000)  4 P 2.47
Ir (0.5000, 0.0000, 0.3852)  5 P 2.34-2.35
Ir (0.0000, 0.5000, 0.6148)  5 P 2.34-2.35
P (0.5000, 0.0000, 0.1406)  5 Ir 2.35-2.47
P (0.0000, 0.0000, 0.5000)  4 Ir 2.34
P (0.5000, 0.5000, 0.5000)  4 Ir 2.34
P (0.0000, 0.5000, 0.8594)  5 Ir 2.35-2.47
Pu (0.0000, 0.5000, 0.2596)  8 P 3.10-3.14, 9 Ir 3.16-3.42
Pu (0.5000, 0.0000, 0.7404)  8 P 3.10-3.14, 9 Ir 3.16-3.42

Values from the calculation:
The symmetry is P4/nmm (129).



(19)
Entry from the Open Quantum Materials Database: an optimized crystal structure of RbP5Ir3 (PBE-GGA).

Lattice parameters (Å, degrees): 5.5284 5.5284 7.7251 90.00 90.00 120.00
With the nearest neighbours (Å) after each atom.
Fractional positions:
Ir (0.5000, 0.0000, 0.5000)  4 P 2.40
Ir (0.0000, 0.5000, 0.5000)  4 P 2.40
Ir (0.5000, 0.5000, 0.5000)  4 P 2.40
P (0.6667, 0.3333, 0.2677)  3 Ir 2.40
P (0.3333, 0.6667, 0.2677)  3 Ir 2.40
P (0.0000, 0.0000, 0.5000)  6 Ir 2.76
P (0.6667, 0.3333, 0.7323)  3 Ir 2.40
P (0.3333, 0.6667, 0.7323)  3 Ir 2.40
Rb (0.0000, 0.0000, 0.0000)  14 P 3.80-3.86

Values from the calculation:
The symmetry is P6/mmm (191).



(20)
Entry from the Open Quantum Materials Database: an optimized crystal structure of PIrSeS3 (PBE-GGA).

Lattice parameters (Å, degrees): 6.8945 6.8945 6.2476 94.10 94.10 65.46
With the nearest neighbours (Å) after each atom.
Fractional positions:
Ir (0.7424, 0.2576, 0.0000)  4 S 2.39-2.40, 2 Se 2.52
Ir (0.2576, 0.7424, 0.0000)  4 S 2.39-2.40, 2 Se 2.52
P (0.2941, 0.2941, 0.1310)  3 S 2.05-2.17
P (0.7059, 0.7059, 0.8690)  3 S 2.05-2.17
S (0.6128, 0.6128, 0.1565)  1 P 2.17, 2 Ir 2.39
S (0.5945, 0.1231, 0.2585)  1 P 2.05
S (0.1231, 0.5945, 0.2585)  1 P 2.05
S (0.8769, 0.4055, 0.7415)  1 P 2.05
S (0.4055, 0.8769, 0.7415)  1 P 2.05
S (0.3872, 0.3872, 0.8435)  1 P 2.17, 2 Ir 2.39
Se (0.1010, 0.1010, 0.1973)  1 P 2.31, 2 Ir 2.52
Se (0.8990, 0.8990, 0.8027)  1 P 2.31, 2 Ir 2.52

Values from the calculation:
The symmetry is C2/m (12).



| no. | energy (eV/atom) | theoretical density (g/cm³) |
| --- | --- | --- |
| 1 | -8.153 | 9.2 |
| 2 | -9.740 | 17.0 |
| 3 | -9.498 | 13.5 |
| 4 | -6.859 | 10.2 |
| 5 | -6.098 | 3.3 |
| 6 | -7.514 | 10.2 |
| 7 | -7.025 | 12.4 |
| 8 | -7.415 | 13.3 |
| 9 | -7.186 | 11.2 |
| 10 | -7.146 | 12.3 |
| 11 | -6.673 | 9.2 |
| 12 | -5.661 | 10.0 |
| 13 | -8.487 | 13.7 |
| 14 | -7.441 | 10.2 |
| 15 | -8.137 | 15.2 |
| 16 | -7.749 | 14.0 |
| 17 | -5.482 | 6.4 |
| 18 | -9.383 | 13.9 |
| 19 | -6.103 | 6.6 |
| 20 | -5.297 | 4.9 |